Below is a relaxed structure of Zr2SbCl, with properties calculated at the PBE-GGA level.

The distance to the lowest polymorph of the same formula is 562 meV/atom. The calculation puts the energy at -94.659 eV/cell. The value obtained for the total magnetization is 0.00 μB/cell.

a = 5.149 Å, b = 5.149 Å, c = 16.266 Å
α = 90.00°, β = 90.00°, γ = 90.00°
Space group I-42d (No. 122)
Inequivalent atoms, fractional coordinates:
Zr1 0.181 0.250 0.125
Sb1 0.000 0.000 0.500
Cl1 0.000 0.000 0.000

=====

Below is a relaxed structure of CaBe2Mo, with properties calculated at the PBE-GGA level.

The distance to the lowest polymorph of the same formula is 279 meV/atom. The calculation puts the energy at -36.259 eV/cell. For the formation energy from the elements, the calculation gives 539 meV per atom. The value obtained for the total magnetization is 0.00 μB/cell.

a = 9.406 Å, b = 2.702 Å, c = 5.073 Å
α = 90.00°, β = 107.43°, γ = 90.00°
Space group Cm (No. 8)
Inequivalent atoms, fractional coordinates:
Ca1 0.000 0.000 0.000
Be1 0.044 0.500 0.501
Be2 0.227 0.000 0.738
Mo1 0.302 0.500 0.384

=====

Below is a relaxed structure of SrLaSe2, with properties calculated at the PBE-GGA level.

The distance to the lowest polymorph of the same formula is 0 meV/atom. The calculation puts the energy at -21.580 eV/cell. The value obtained for the total magnetization is 0.00 μB/cell.

a = 4.360 Å, b = 4.360 Å, c = 6.184 Å
α = 90.00°, β = 90.00°, γ = 90.00°
Space group P4/mmm (No. 123)
Inequivalent atoms, fractional coordinates:
Sr1 0.000 0.000 0.000
La1 0.500 0.500 0.500
Se1 0.000 0.000 0.500
Se2 0.500 0.500 0.000

=====

Below is a relaxed structure of Re3SnI, with properties calculated at the PBE-GGA level.

The distance to the lowest polymorph of the same formula is 0 meV/atom. The calculation puts the energy at -29.344 eV/cell. The value obtained for the total magnetization is 2.49 μB/cell.

a = 4.874 Å, b = 4.874 Å, c = 4.874 Å
α = 90.00°, β = 90.00°, γ = 90.00°
Space group Pm-3m (No. 221)
Inequivalent atoms, fractional coordinates:
Re1 0.000 0.000 0.500
Sn1 0.500 0.500 0.500
I1 0.000 0.000 0.000

=====

- Which formula does entry 2 have?
  CaBe2Mo